Model one:
First-principles (PBE) data for crystalline LiCaY2 at its relaxed geometry, as listed in the Alexandria database.

Unit cell a=3.6963 b=3.6963 c=9.0919 alpha=90.00 beta=90.00 gamma=90.00
Positions (direct):
1 Li 0.0000 0.0000 0.0000
2 Ca 0.0000 0.0000 0.5000
3 Y 0.5000 0.5000 0.1988
4 Y 0.5000 0.5000 0.8012

Values from the calculation:
calculated volume: 124.2 Å³/cell
ρ: 3.01 g/cm³
total magnetization: 0.5 μB/cell

Model two:
First-principles (PBE) data for crystalline LiCaY2 at its relaxed geometry, as listed in the Alexandria database.

Unit cell a=6.5720 b=6.5720 c=6.5720 alpha=137.56 beta=137.56 gamma=61.58
Positions (direct):
1 Li 0.0000 0.0000 0.0000
2 Ca 0.5000 0.5000 0.0000
3 Y 0.2500 0.7500 0.5000
4 Y 0.7500 0.2500 0.5000

Values from the calculation:
calculated volume: 127.8 Å³/cell
ρ: 2.92 g/cm³
total magnetization: 0.0 μB/cell

model one takes first place; second place is 8.1 kJ/mol of atoms up.

Model one:
First-principles (PBE) data for crystalline LiCaY2 at its relaxed geometry, as listed in the Alexandria database.

Unit cell a=3.4950 b=5.9172 c=6.2274 alpha=90.00 beta=97.52 gamma=90.00
Positions (direct):
1 Li 0.0000 0.0000 0.0000
2 Ca 0.5000 0.0000 0.5000
3 Y 0.2202 0.5000 0.7545
4 Y 0.7798 0.5000 0.2455

Values from the calculation:
calculated volume: 127.7 Å³/cell
ρ: 2.92 g/cm³
total magnetization: 0.0 μB/cell

Model two:
First-principles (PBE) data for crystalline LiCaY2 at its relaxed geometry, as listed in the Alexandria database.

Unit cell a=6.8374 b=6.8374 c=6.8374 alpha=148.46 beta=131.21 gamma=59.26
Positions (direct):
1 Li 0.0000 0.0000 0.0000
2 Ca 0.5000 0.5000 0.0000
3 Y 0.2247 0.7247 0.5000
4 Y 0.7753 0.2753 0.5000

Values from the calculation:
calculated volume: 124.8 Å³/cell
ρ: 2.99 g/cm³
total magnetization: 0.4 μB/cell

Model three:
First-principles (PBE) data for crystalline LiCaY2 at its relaxed geometry, as listed in the Alexandria database.

Unit cell a=6.8800 b=6.8800 c=3.4716 alpha=101.41 beta=101.41 gamma=121.46
Positions (direct):
1 Li 0.0000 0.0000 0.0000
2 Ca 0.5000 0.5000 0.0000
3 Y 0.0000 0.5000 0.5000
4 Y 0.5000 0.0000 0.5000

Values from the calculation:
calculated volume: 128.2 Å³/cell
ρ: 2.91 g/cm³
total magnetization: 0.0 μB/cell

Model four:
First-principles (PBE) data for crystalline LiCaY2 at its relaxed geometry, as listed in the Alexandria database.

Unit cell a=5.5367 b=5.5367 c=4.0480 alpha=90.00 beta=90.00 gamma=90.00
Positions (direct):
1 Li 0.0000 0.0000 0.0000
2 Ca 0.5000 0.5000 0.0000
3 Y 0.0000 0.5000 0.5000
4 Y 0.5000 0.0000 0.5000

Values from the calculation:
calculated volume: 124.1 Å³/cell
ρ: 3.01 g/cm³
total magnetization: 0.0 μB/cell

model two takes first place; second place is 6.6 kJ/mol of atoms up.

Model one:
First-principles (PBE) data for crystalline LiCaY2 at its relaxed geometry, as listed in the Alexandria database.

Unit cell a=11.6489 b=11.6489 c=11.6489 alpha=17.82 beta=17.82 gamma=17.82
Positions (direct):
1 Li 0.0000 0.0000 0.0000
2 Ca 0.7491 0.7491 0.7491
3 Y 0.2544 0.2544 0.2544
4 Y 0.5060 0.5060 0.5060

Values from the calculation:
calculated volume: 129.2 Å³/cell
ρ: 2.89 g/cm³
total magnetization: 0.0 μB/cell

Model two:
First-principles (PBE) data for crystalline LiCaY2 at its relaxed geometry, as listed in the Alexandria database.

Unit cell a=5.5970 b=5.5970 c=5.5970 alpha=60.00 beta=60.00 gamma=60.00
Positions (direct):
1 Li 0.0000 0.0000 0.0000
2 Ca 0.5000 0.5000 0.5000
3 Y 0.2500 0.2500 0.2500
4 Y 0.7500 0.7500 0.7500

Values from the calculation:
calculated volume: 124.0 Å³/cell
ρ: 3.01 g/cm³
total magnetization: 0.0 μB/cell

model one takes first place; second place is 11.5 kJ/mol of atoms up.

Model one:
First-principles (PBE) data for crystalline LiCaY3 at its relaxed geometry, as listed in the Alexandria database.

Unit cell a=5.6879 b=5.6879 c=5.6879 alpha=90.00 beta=90.00 gamma=90.00
Positions (direct):
1 Li 0.0000 0.0000 0.0000
2 Ca 0.5000 0.5000 0.5000
3 Y 0.0000 0.5000 0.5000
4 Y 0.5000 0.0000 0.5000
5 Y 0.5000 0.5000 0.0000

Values from the calculation:
calculated volume: 184.0 Å³/cell
ρ: 2.83 g/cm³
total magnetization: 0.0 μB/cell

Model two:
First-principles (PBE) data for crystalline LiCaY3 at its relaxed geometry, as listed in the Alexandria database.

Unit cell a=5.5238 b=5.5238 c=5.5238 alpha=90.00 beta=90.00 gamma=90.00
Positions (direct):
1 Li 0.0000 0.0000 0.0000
2 Ca 0.5000 0.5000 0.5000
3 Y 0.0000 0.0000 0.5000
4 Y 0.0000 0.5000 0.0000
5 Y 0.5000 0.0000 0.0000

Values from the calculation:
calculated volume: 168.5 Å³/cell
ρ: 3.09 g/cm³
total magnetization: 1.9 μB/cell

model two takes first place; second place is 54.9 kJ/mol of atoms up.

Model one:
First-principles (PBE) data for crystalline LiCa3Y at its relaxed geometry, as listed in the Alexandria database.

Unit cell a=5.7420 b=5.7420 c=5.7420 alpha=90.00 beta=90.00 gamma=90.00
Positions (direct):
1 Li 0.0000 0.0000 0.0000
2 Ca 0.0000 0.0000 0.5000
3 Ca 0.0000 0.5000 0.0000
4 Ca 0.5000 0.0000 0.0000
5 Y 0.5000 0.5000 0.5000

Values from the calculation:
calculated volume: 189.3 Å³/cell
ρ: 1.90 g/cm³
total magnetization: 0.0 μB/cell

Model two:
First-principles (PBE) data for crystalline LiCa3Y at its relaxed geometry, as listed in the Alexandria database.

Unit cell a=6.3158 b=6.3158 c=6.3158 alpha=90.00 beta=90.00 gamma=90.00
Positions (direct):
1 Li 0.0000 0.0000 0.0000
2 Ca 0.0000 0.5000 0.5000
3 Ca 0.5000 0.0000 0.5000
4 Ca 0.5000 0.5000 0.0000
5 Y 0.5000 0.5000 0.5000

Values from the calculation:
calculated volume: 251.9 Å³/cell
ρ: 1.42 g/cm³
total magnetization: 3.4 μB/cell

model one takes first place; second place is 43.1 kJ/mol of atoms up.

Model one:
First-principles (PBE) data for crystalline LiCaZn at its relaxed geometry, as listed in the Alexandria database.

Unit cell a=5.0230 b=5.0230 c=5.0230 alpha=60.00 beta=60.00 gamma=60.00
Positions (direct):
1 Li 0.0000 0.0000 0.0000
2 Ca 0.7500 0.7500 0.7500
3 Zn 0.5000 0.5000 0.5000

Values from the calculation:
calculated volume: 89.6 Å³/cell
ρ: 2.08 g/cm³
total magnetization: 0.0 μB/cell

Model two:
First-principles (PBE) data for crystalline LiCaZn at its relaxed geometry, as listed in the Alexandria database.

Unit cell a=6.2366 b=5.9498 c=8.3459 alpha=90.00 beta=112.26 gamma=90.00
Positions (direct):
1 Li 0.0880 0.0999 0.1981
2 Li 0.0880 0.4001 0.6981
3 Li 0.9120 0.5999 0.3019
4 Li 0.9120 0.9001 0.8019
5 Ca 0.3119 0.6165 0.1278
6 Ca 0.3119 0.8835 0.6278
7 Ca 0.6881 0.1165 0.3722
8 Ca 0.6881 0.3835 0.8722
9 Zn 0.3153 0.1236 0.9738
10 Zn 0.3153 0.3764 0.4738
11 Zn 0.6847 0.6236 0.5262
12 Zn 0.6847 0.8764 0.0262

Values from the calculation:
calculated volume: 286.6 Å³/cell
ρ: 2.61 g/cm³
total magnetization: 0.0 μB/cell

model two takes first place; second place is 45.2 kJ/mol of atoms up.